(1)
Computed, not measured: a relaxed structure of BaNd3In4 at the GGA-PBE level of DFT.

The value obtained for the spin magnetization is 0.63 μB per formula unit. The calculation puts the total energy at -3.459 eV/atom.

It has space group I-42m (No. 121), with a = 8.855 Å, b = 8.855 Å, c = 6.784 Å, α = 90.00°, β = 90.00° and γ = 90.00°. The asymmetric unit holds Ba at (0.000, 0.000, 0.000), Nd at (0.000, 0.000, 0.500), Nd at (0.000, 0.500, 0.250) and In at (0.239, 0.239, 0.347).



(2)
Computed, not measured: a relaxed structure of NdGa2Hg at the GGA-PBE level of DFT.

The value obtained for the spin magnetization is 0.00 μB per formula unit. The energy above the most stable polymorph in this dataset comes out at 8.7 meV/atom.

It has space group Cmcm (No. 63), with a = 6.751 Å, b = 11.362 Å, c = 4.707 Å, α = 90.00°, β = 90.00° and γ = 90.00°. The asymmetric unit holds Nd at (0.000, 0.160, 0.250), Ga at (0.228, 0.425, 0.250) and Hg at (0.000, 0.346, 0.750).



(3)
Computed, not measured: a relaxed structure of Pb2W at the GGA-PBE level of DFT.

The value obtained for the spin magnetization is 0.00 μB per formula unit. The energy above the most stable polymorph in this dataset comes out at 0.0 meV/atom.

It has space group P6_3/mmc (No. 194), with a = 6.3995 Å, b = 6.3995 Å, c = 10.0479 Å, α = 90.00°, β = 90.00° and γ = 120.00°. The asymmetric unit holds Pb at (0.0000, 0.0000, 0.0000), Pb at (0.1738, 0.3475, 0.2500) and W at (0.3333, 0.6667, 0.6405).